## Re2TcAs (PBEsol)

Data for a relaxed Re2TcAs crystal.

Structure (POSCAR):
```
Re2TcAs
1.0
-0.495 -2.691 0.283
2.097 0.669 -1.650
5.451 -0.285 6.814
Re As Tc
2 1 1
direct
0.000 0.000 0.999
0.500 0.500 0.748
0.500 0.500 0.255
0.000 0.000 0.498
```

Computed properties:
For the formation energy, the calculation gives 476 meV/atom.